# 1
Density functional theory data (GGA-PBE) for a geometry-optimized LaGa2CuS structure.

VASP energy ... -16.4 eV per cell
Uncorrected formation energy ... 561 meV/atom
Total magnetization ... 0.000 Bohr magnetons per cell
Density ... 3.1 g/cm³

Cell and atoms, written as POSCAR:
```
LaGa2CuS
1.0
6.177 0.000 0.000
0.000 6.177 0.000
0.000 0.000 5.284
La Ga Cu S
1 2 1 1
Cartesian
0.000 0.000 0.000 La
0.000 3.089 0.000 Ga
3.089 0.000 0.000 Ga
3.089 3.089 2.642 Cu
0.000 0.000 2.642 S
```

---

# 2
Density functional theory data (GGA-PBE) for a geometry-optimized La2GaCuS5 structure.

VASP energy ... -101.0 eV per cell
Uncorrected formation energy ... -1434 meV/atom
Total magnetization ... 0.000 Bohr magnetons per cell
Density ... 4.8 g/cm³

Cell and atoms, written as POSCAR:
```
La2GaCuS5
1.0
1.971 -8.676 0.000
1.971 8.676 0.000
0.000 0.000 11.525
La Ga Cu S
4 2 2 10
Cartesian
1.971 6.682 5.762 La
1.971 6.353 1.356 La
1.971 -6.353 7.118 La
1.971 -6.682 0.000 La
1.971 1.259 3.100 Ga
1.971 -1.259 8.862 Ga
1.971 4.414 10.362 Cu
1.971 -4.414 4.599 Cu
1.971 7.905 10.069 S
1.971 3.609 5.473 S
1.971 3.168 1.854 S
1.971 2.420 9.359 S
1.971 0.045 6.909 S
1.971 -0.045 1.147 S
1.971 -2.420 3.596 S
1.971 -3.168 7.617 S
1.971 -3.609 11.235 S
1.971 -7.905 4.307 S
```

---

# 3
Density functional theory data (GGA-PBE) for a geometry-optimized LaScGa2Cu2 structure.

VASP energy ... -28.5 eV per cell
E_form ... -507 meV per atom
Total magnetization ... 0.000 Bohr magnetons per cell
Density ... 6.4 g/cm³

Cell and atoms, written as POSCAR:
```
LaScGa2Cu2
1.0
4.335 0.000 0.000
-2.168 3.755 0.000
0.000 0.000 7.228
La Sc Ga Cu
1 1 2 2
Cartesian
0.000 0.000 0.000 La
0.000 0.000 3.614 Sc
0.000 2.503 2.140 Ga
2.168 1.252 5.088 Ga
0.000 2.503 4.974 Cu
2.168 1.252 2.254 Cu
```

---

Repeat the third record exactly.
Density functional theory data (GGA-PBE) for a geometry-optimized LaScGa2Cu2 structure.

VASP energy ... -28.5 eV per cell
E_form ... -507 meV per atom
Total magnetization ... 0.000 Bohr magnetons per cell
Density ... 6.4 g/cm³

Cell and atoms, written as POSCAR:
```
LaScGa2Cu2
1.0
4.335 0.000 0.000
-2.168 3.755 0.000
0.000 0.000 7.228
La Sc Ga Cu
1 1 2 2
Cartesian
0.000 0.000 0.000 La
0.000 0.000 3.614 Sc
0.000 2.503 2.140 Ga
2.168 1.252 5.088 Ga
0.000 2.503 4.974 Cu
2.168 1.252 2.254 Cu
```